# SmC2 | Alexandria | PBE | relaxed
# energy above the most stable polymorph in this dataset	0	meV/atom
# ΔH_f (0 K)	-0.15	eV/atom
# electronic total energy	-94.5	eV for the cell shown
data_SmC2
_chemical_formula_sum 'Sm4 C8'
_symmetry_space_group_name_H-M 'C 1 2/c 1'
_symmetry_Int_Tables_number 15
_cell_length_a 6.517
_cell_length_b 4.232
_cell_length_c 6.921
_cell_angle_alpha 90.00
_cell_angle_beta 105.02
_cell_angle_gamma 90.00
loop_
_symmetry_equiv_pos_as_xyz
'x,y,z'
'-x,-y,-z'
'-x,y,-z+1/2'
'x,-y,z+1/2'
'x+1/2,y+1/2,z'
'-x+1/2,-y+1/2,-z'
'-x+1/2,y+1/2,-z+1/2'
'x+1/2,-y+1/2,z+1/2'
loop_
_atom_site_label
_atom_site_fract_x
_atom_site_fract_y
_atom_site_fract_z
Sm1 0.000 0.193 0.250
C1 0.204 0.368 0.947